<A>
DFT (GGA-PBE) results for a relaxed structure of Sm2ZrPt.

Calculated values
Calculated density in Mg/m³: 8.54
Spin magnetization in Bohr magnetons per cell: 1.1
Crystal system: trigonal
N(E_F) in states/eV/atom: 1.025

```
Sm2ZrPt
1.0
1.790 1.033 10.287
-1.790 1.033 10.287
0.000 -2.067 10.287
Sm Zr Pt
2 1 1
Direct
0.102 0.102 0.102
0.898 0.898 0.898
0.000 0.000 0.000
0.500 0.500 0.500
```

---

<B>
DFT (GGA-PBE) results for a relaxed structure of Sm2ZrPt.

Calculated values
Calculated density in Mg/m³: 9.58
Spin magnetization in Bohr magnetons per cell: 0.0
Crystal system: tetragonal
N(E_F) in states/eV/atom: 0.977

```
Sm2ZrPt
1.0
3.592 0.000 0.000
0.000 3.592 0.000
0.000 0.000 7.887
Sm Zr Pt
2 1 1
Direct
0.000 0.000 0.217
0.000 0.000 0.783
0.500 0.500 0.500
0.500 0.500 0.000
```

---

Pick the least stable structure from those above. Pick: <A>